Entry from Alexandria via LeMat-Bulk: a geometry-optimized Sr2TaCu structure (PBE-GGA).

abc: 3.4472 3.4472 9.5005
angles: 90.00 90.00 90.00
Closest atoms and distances in Å follow each position.
Fractional positions:
Sr (0.0000, 0.0000, 0.0000)  4 Cu 3.33, 1 Ta 3.35, 4 Sr 3.45
Sr (0.5000, 0.5000, 0.3865)  4 Sr 3.45, 4 Ta 3.47, 1 Cu 3.57
Ta (0.0000, 0.0000, 0.6471)  4 Cu 2.67
Cu (0.5000, 0.5000, 0.7618)  4 Ta 2.67

Computed properties:
* energy relative to the lowest polymorph listed for this composition: 0.000 eV/atom
* formation energy: 0.501 eV per atom
* D(E_F): 1.2295 states/eV per atom
* SG: P4mm (99)